one.
Compound: HgPd6Au3
Source: Alexandria via LeMat-Bulk
Functional: PBE
Structure: optimized geometry

CIF file:
```
data_HgPd6Au3
_chemical_formula_sum 'Hg2 Pd12 Au6'
_space_group_name_H-M_alt 'C 1 2/m 1'
_space_group_IT_number 12
_cell_length_a 14.0752
_cell_length_b 5.6338
_cell_length_c 4.6859
_cell_angle_alpha 90.00
_cell_angle_beta 90.02
_cell_angle_gamma 90.00
loop_
_space_group_symop_operation_xyz
'x,y,z'
'-x,-y,-z'
'-x,y,-z'
'x,-y,z'
'x+1/2,y+1/2,z'
'-x+1/2,-y+1/2,-z'
'-x+1/2,y+1/2,-z'
'x+1/2,-y+1/2,z'
loop_
_atom_site_label
_atom_site_type_symbol
_atom_site_fract_x
_atom_site_fract_y
_atom_site_fract_z
Hg1 Hg 0.0000 0.0000 0.0000
Pd1 Pd 0.1463 0.2502 0.7410
Pd2 Pd 0.1780 0.5000 0.2406
Au1 Au 0.0000 0.5000 0.5000
Au2 Au 0.1824 0.0000 0.2469
```

---

two.
Compound: HgPd6Au3
Source: Alexandria via LeMat-Bulk
Functional: PBE
Structure: optimized geometry

CIF file:
```
data_HgPd6Au3
_chemical_formula_sum 'Hg2 Pd12 Au6'
_space_group_name_H-M_alt 'P 1 21/m 1'
_space_group_IT_number 11
_cell_length_a 9.0185
_cell_length_b 4.0609
_cell_length_c 9.0973
_cell_angle_alpha 90.00
_cell_angle_beta 90.71
_cell_angle_gamma 90.00
loop_
_space_group_symop_operation_xyz
'x,y,z'
'-x,-y,-z'
'-x,y+1/2,-z'
'x,-y+1/2,z'
loop_
_atom_site_label
_atom_site_type_symbol
_atom_site_fract_x
_atom_site_fract_y
_atom_site_fract_z
Hg1 Hg 0.0562 0.2500 0.3903
Pd1 Pd 0.0480 0.7500 0.9034
Pd2 Pd 0.1464 0.2500 0.7012
Pd3 Pd 0.1548 0.7500 0.1950
Pd4 Pd 0.2496 0.7500 0.4983
Pd5 Pd 0.3545 0.2500 0.2973
Pd6 Pd 0.4518 0.7500 0.0997
Au1 Au 0.2496 0.2500 0.0025
Au2 Au 0.3465 0.7500 0.8009
Au3 Au 0.4476 0.2500 0.5996
```

---

Most stable: two

---

one.
Compound: HgPd2Au4
Source: Alexandria via LeMat-Bulk
Functional: PBE
Structure: optimized geometry

CIF file:
```
data_HgPd2Au4
_chemical_formula_sum 'Hg2 Pd4 Au8'
_space_group_name_H-M_alt 'P 1 21/m 1'
_space_group_IT_number 11
_cell_length_a 6.9909
_cell_length_b 5.5857
_cell_length_c 7.3706
_cell_angle_alpha 90.00
_cell_angle_beta 117.04
_cell_angle_gamma 90.00
loop_
_space_group_symop_operation_xyz
'x,y,z'
'-x,-y,-z'
'-x,y+1/2,-z'
'x,-y+1/2,z'
loop_
_atom_site_label
_atom_site_type_symbol
_atom_site_fract_x
_atom_site_fract_y
_atom_site_fract_z
Hg1 Hg 0.0631 0.2500 0.3214
Pd1 Pd 0.0507 0.7500 0.3715
Pd2 Pd 0.2366 0.2500 0.0497
Au1 Au 0.2234 0.7500 0.0927
Au2 Au 0.3557 0.0006 0.7745
Au3 Au 0.4922 0.7500 0.5112
```

---

two.
Compound: HgPd2Au4
Source: Alexandria via LeMat-Bulk
Functional: PBE
Structure: optimized geometry

CIF file:
```
data_HgPd2Au4
_chemical_formula_sum 'Hg2 Pd4 Au8'
_space_group_name_H-M_alt 'P 1 21/c 1'
_space_group_IT_number 14
_cell_length_a 4.8922
_cell_length_b 9.6105
_cell_length_c 5.7451
_cell_angle_alpha 90.00
_cell_angle_beta 99.88
_cell_angle_gamma 90.00
loop_
_space_group_symop_operation_xyz
'x,y,z'
'-x,-y,-z'
'-x,y+1/2,-z+1/2'
'x,-y+1/2,z+1/2'
loop_
_atom_site_label
_atom_site_type_symbol
_atom_site_fract_x
_atom_site_fract_y
_atom_site_fract_z
Hg1 Hg 0.0000 0.0000 0.0000
Pd1 Pd 0.4674 0.0022 0.7370
Au1 Au 0.0526 0.1423 0.4250
Au2 Au 0.4258 0.7417 0.4684
```

---

Most stable: one

---

one.
Compound: Hg3Pd8Au2
Source: Alexandria via LeMat-Bulk
Functional: PBE
Structure: optimized geometry

CIF file:
```
data_Hg3Pd8Au2
_chemical_formula_sum 'Hg9 Pd24 Au6'
_space_group_name_H-M_alt 'R -3 m'
_space_group_IT_number 166
_space_group_name_Hall '-R 3 2"'
_cell_length_a 5.2229
_cell_length_b 5.2229
_cell_length_c 30.6262
_cell_angle_alpha 90.00
_cell_angle_beta 90.00
_cell_angle_gamma 120.00
loop_
_atom_site_label
_atom_site_type_symbol
_atom_site_fract_x
_atom_site_fract_y
_atom_site_fract_z
Hg1 Hg 0.0000 0.0000 0.0000
Hg2 Hg 0.0000 0.0000 0.1820
Pd1 Pd 0.0000 0.0000 0.2717
Pd2 Pd 0.0010 0.5005 0.7683
Au1 Au 0.0000 0.0000 0.3589
```

---

two.
Compound: Hg3Pd8Au2
Source: Alexandria via LeMat-Bulk
Functional: PBE
Structure: optimized geometry

CIF file:
```
data_Hg3Pd8Au2
_chemical_formula_sum 'Hg3 Pd8 Au2'
_space_group_name_H-M_alt 'P -1'
_space_group_IT_number 2
_cell_length_a 4.8510
_cell_length_b 7.4273
_cell_length_c 7.4361
_cell_angle_alpha 96.48
_cell_angle_beta 103.56
_cell_angle_gamma 103.70
loop_
_space_group_symop_operation_xyz
'x,y,z'
'-x,-y,-z'
loop_
_atom_site_label
_atom_site_type_symbol
_atom_site_fract_x
_atom_site_fract_y
_atom_site_fract_z
Hg1 Hg 0.0000 0.0000 0.0000
Hg2 Hg 0.4125 0.7296 0.7299
Pd1 Pd 0.0510 0.1142 0.3760
Pd2 Pd 0.0520 0.3763 0.1141
Pd3 Pd 0.5002 0.1332 0.8671
Pd4 Pd 0.5003 0.3795 0.6200
Au1 Au 0.0002 0.2716 0.7284
```

---

Most stable: two

---

one.
Compound: HgPd3Au6
Source: Alexandria via LeMat-Bulk
Functional: PBE
Structure: optimized geometry

CIF file:
```
data_HgPd3Au6
_chemical_formula_sum 'Hg1 Pd3 Au6'
_space_group_name_H-M_alt 'P 1'
_space_group_IT_number 1
_cell_length_a 2.9583
_cell_length_b 7.0592
_cell_length_c 8.7111
_cell_angle_alpha 74.53
_cell_angle_beta 89.93
_cell_angle_gamma 89.28
loop_
_space_group_symop_operation_xyz
'x,y,z'
loop_
_atom_site_label
_atom_site_type_symbol
_atom_site_fract_x
_atom_site_fract_y
_atom_site_fract_z
Hg1 Hg 0.0000 0.0000 0.0000
Pd1 Pd 0.0017 0.7959 0.5953
Pd2 Pd 0.4990 0.5020 0.4914
Pd3 Pd 0.9960 0.6085 0.1960
Au1 Au 0.0010 0.4003 0.7831
Au2 Au 0.4974 0.3140 0.0953
Au3 Au 0.4983 0.8941 0.3080
Au4 Au 0.5012 0.0964 0.6849
Au5 Au 0.5014 0.6989 0.8897
Au6 Au 0.9987 0.2097 0.3913
```

---

two.
Compound: HgPd3Au6
Source: Alexandria via LeMat-Bulk
Functional: PBE
Structure: optimized geometry

CIF file:
```
data_HgPd3Au6
_chemical_formula_sum 'Hg6 Pd18 Au36'
_space_group_name_H-M_alt 'R -3'
_space_group_IT_number 148
_space_group_name_Hall '-R 3'
_cell_length_a 12.2495
_cell_length_b 12.2495
_cell_length_c 8.4249
_cell_angle_alpha 90.00
_cell_angle_beta 90.00
_cell_angle_gamma 120.00
loop_
_atom_site_label
_atom_site_type_symbol
_atom_site_fract_x
_atom_site_fract_y
_atom_site_fract_z
Hg1 Hg 0.0000 0.0000 0.0000
Hg2 Hg 0.0000 0.0000 0.5000
Pd1 Pd 0.0557 0.2393 0.0833
Au1 Au 0.0591 0.2279 0.7538
Au2 Au 0.0587 0.2449 0.4175
```

---

Most stable: one

---

one.
Compound: Hg2Pd2Au5
Source: Alexandria via LeMat-Bulk
Functional: PBE
Structure: optimized geometry

CIF file:
```
data_Hg2Pd2Au5
_chemical_formula_sum 'Hg4 Pd4 Au10'
_space_group_name_H-M_alt 'C 1 2/m 1'
_space_group_IT_number 12
_cell_length_a 14.4943
_cell_length_b 4.0991
_cell_length_c 5.8593
_cell_angle_alpha 90.00
_cell_angle_beta 95.69
_cell_angle_gamma 90.00
loop_
_space_group_symop_operation_xyz
'x,y,z'
'-x,-y,-z'
'-x,y,-z'
'x,-y,z'
'x+1/2,y+1/2,z'
'-x+1/2,-y+1/2,-z'
'-x+1/2,y+1/2,-z'
'x+1/2,-y+1/2,z'
loop_
_atom_site_label
_atom_site_type_symbol
_atom_site_fract_x
_atom_site_fract_y
_atom_site_fract_z
Hg1 Hg 0.0867 0.0000 0.3327
Pd1 Pd 0.1960 0.5000 0.1138
Au1 Au 0.0000 0.5000 0.0000
Au2 Au 0.1081 0.0000 0.8248
Au3 Au 0.2028 0.5000 0.6158
```

---

two.
Compound: Hg2Pd2Au5
Source: Alexandria via LeMat-Bulk
Functional: PBE
Structure: optimized geometry

CIF file:
```
data_Hg2Pd2Au5
_chemical_formula_sum 'Hg8 Pd8 Au20'
_space_group_name_H-M_alt 'I m a 2'
_space_group_IT_number 46
_cell_length_a 17.1303
_cell_length_b 4.7970
_cell_length_c 8.1160
_cell_angle_alpha 90.00
_cell_angle_beta 90.00
_cell_angle_gamma 90.00
loop_
_space_group_symop_operation_xyz
'x,y,z'
'-x,-y,z'
'-x+1/2,y,z'
'x+1/2,-y,z'
'x+1/2,y+1/2,z+1/2'
'-x+1/2,-y+1/2,z+1/2'
'-x,y+1/2,z+1/2'
'x,-y+1/2,z+1/2'
loop_
_atom_site_label
_atom_site_type_symbol
_atom_site_fract_x
_atom_site_fract_y
_atom_site_fract_z
Hg1 Hg 0.0000 0.0000 0.0000
Hg2 Hg 0.2500 0.0482 0.3426
Pd1 Pd 0.0850 0.5010 0.1710
Au1 Au 0.0833 0.0015 0.3345
Au2 Au 0.1640 0.5090 0.5049
Au3 Au 0.2500 0.5479 0.1778
```

---

Most stable: one

---

one.
Compound: Hg2Pd5Au
Source: Alexandria via LeMat-Bulk
Functional: PBE
Structure: optimized geometry

CIF file:
```
data_Hg2Pd5Au
_chemical_formula_sum 'Hg2 Pd5 Au1'
_space_group_name_H-M_alt 'P 4/m m m'
_space_group_IT_number 123
_space_group_name_Hall '-P 4 2'
_cell_length_a 6.0835
_cell_length_b 6.0835
_cell_length_c 4.9207
_cell_angle_alpha 90.00
_cell_angle_beta 90.00
_cell_angle_gamma 90.00
loop_
_atom_site_label
_atom_site_type_symbol
_atom_site_fract_x
_atom_site_fract_y
_atom_site_fract_z
Hg1 Hg 0.0000 0.5000 0.0000
Pd1 Pd 0.0000 0.0000 0.0000
Pd2 Pd 0.2932 0.2932 0.5000
Au1 Au 0.0000 0.0000 0.5000
```

---

two.
Compound: Hg2Pd5Au
Source: Alexandria via LeMat-Bulk
Functional: PBE
Structure: optimized geometry

CIF file:
```
data_Hg2Pd5Au
_chemical_formula_sum 'Hg4 Pd10 Au2'
_space_group_name_H-M_alt 'I 4/m m m'
_space_group_IT_number 139
_space_group_name_Hall '-I 4 2'
_cell_length_a 4.3213
_cell_length_b 4.3213
_cell_length_c 14.6203
_cell_angle_alpha 90.00
_cell_angle_beta 90.00
_cell_angle_gamma 90.00
loop_
_atom_site_label
_atom_site_type_symbol
_atom_site_fract_x
_atom_site_fract_y
_atom_site_fract_z
Hg1 Hg 0.0000 0.0000 0.2494
Pd1 Pd 0.0000 0.0000 0.0000
Pd2 Pd 0.0000 0.5000 0.1220
Au1 Au 0.0000 0.0000 0.5000
```

---

Most stable: two